Entry 1:
Material: AcGe2Ir
Method: DFT, PBE
State: optimized geometry

Computed properties:
magnetic moment: 0.000 μB/atom
DOS(E_F): 0.509 states/eV per atom
ΔH_f (0 K): -0.710 eV/atom
E: -6.2615 eV per atom

Cell: 4.471 7.421 11.021 Å, 90.00 90.00 90.00°
Element x y z (fractional)
Ac1 0.250 0.327 0.628
Ac2 0.750 0.673 0.372
Ac3 0.750 0.173 0.128
Ac4 0.250 0.827 0.872
Ir1 0.750 0.992 0.642
Ir2 0.250 0.508 0.142
Ir3 0.750 0.492 0.858
Ir4 0.250 0.008 0.358
Ge1 0.250 0.866 0.565
Ge2 0.750 0.134 0.435
Ge3 0.250 0.346 0.335
Ge4 0.250 0.366 0.935
Ge5 0.750 0.634 0.065
Ge6 0.250 0.846 0.165
Ge7 0.750 0.654 0.665
Ge8 0.750 0.154 0.835

***

Entry 2:
Material: Tb2Pm4PrHo2
Method: DFT, PBE
State: optimized geometry

Computed properties:
magnetic moment: 0.000 μB/atom
DOS(E_F): 1.455 states/eV per atom
ΔH_f (0 K): 0.017 eV/atom
E: -4.6717 eV per atom

Cell: 5.096 8.073 8.067 Å, 107.41 90.00 108.40°
Element x y z (fractional)
Pm1 0.445 0.890 0.667
Pm2 0.555 0.110 0.333
Pm3 0.777 0.554 0.668
Pm4 0.223 0.446 0.332
Tb1 0.112 0.223 0.667
Tb2 0.888 0.777 0.333
Ho1 0.332 0.663 0.001
Ho2 0.668 0.337 0.999
Pr1 0.000 0.000 0.000

***

Entry 3:
Material: Ce6AlGa2
Method: DFT, PBE
State: optimized geometry

Computed properties:
magnetic moment: 0.014 μB/atom
DOS(E_F): 2.524 states/eV per atom
ΔH_f (0 K): -0.260 eV/atom
E: -5.3042 eV per atom

Cell: 2.942 8.863 8.863 Å, 120.00 90.00 90.00°
Element x y z (fractional)
Ce1 0.500 0.666 0.666
Ce2 0.500 0.334 0.000
Ce3 0.500 0.334 0.334
Ce4 0.500 0.666 0.000
Ce5 0.500 0.000 0.666
Ce6 0.500 0.000 0.334
Ga1 0.000 0.333 0.667
Ga2 0.000 0.667 0.333
Al1 0.000 0.000 0.000

***

Entry 4:
Material: HPb
Method: DFT, PBE
State: optimized geometry

Computed properties:
magnetic moment: 0.000 μB/atom
DOS(E_F): 0.138 states/eV per atom
E: -3.1416 eV per atom

Cell: 4.452 4.334 11.543 Å, 90.00 90.00 90.00°
Element x y z (fractional)
Pb1 0.500 0.267 0.662
Pb2 0.500 0.267 0.338
Pb3 0.000 0.733 0.838
Pb4 0.500 0.175 0.000
Pb5 0.000 0.825 0.500
Pb6 0.000 0.733 0.162
H1 0.500 0.735 0.112
H2 0.000 0.510 0.000
H3 0.000 0.265 0.612
H4 0.500 0.490 0.500
H5 0.500 0.735 0.888
H6 0.000 0.265 0.388

***

Entry 5:
Material: GaPF3
Method: DFT, PBE
State: optimized geometry

Computed properties:
energy relative to the elements, uncorrected: -1.130 eV/atom
magnetic moment: 0.000 μB/atom
DOS(E_F): 0.383 states/eV per atom
E: -3.9405 eV per atom

Cell: 4.291 4.291 4.291 Å, 90.00 90.00 90.00°
Element x y z (fractional)
F1 0.000 0.000 0.500
F2 0.500 0.000 0.000
F3 0.000 0.500 0.000
P1 0.000 0.000 0.000
Ga1 0.500 0.500 0.500

***

Entry 6:
Material: Li2Tm2ZrS6
Method: DFT, PBE
State: optimized geometry

Computed properties:
energy relative to the elements, uncorrected: -1.757 eV/atom
magnetic moment: 0.000 μB/atom
DOS(E_F): 0.000 states/eV per atom
E: -5.9466 eV per atom

Cell: 6.608 6.608 6.523 Å, 99.34 99.34 119.65°
Element x y z (fractional)
S1 0.240 0.240 0.259
S2 0.399 0.073 0.741
S3 0.760 0.760 0.741
S4 0.073 0.399 0.741
S5 0.601 0.927 0.259
S6 0.927 0.601 0.259
Li1 0.838 0.162 0.000
Li2 0.162 0.838 0.000
Tm1 0.334 0.666 0.500
Tm2 0.666 0.334 0.500
Zr1 0.000 0.000 0.500

***

Entry 7:
Material: Sr2PuTlBr8
Method: DFT, PBE
State: optimized geometry

Computed properties:
energy relative to the elements, uncorrected: -1.684 eV/atom
magnetic moment: 0.417 μB/atom
DOS(E_F): 0.775 states/eV per atom
E: -4.4715 eV per atom

Cell: 7.200 7.014 9.434 Å, 89.99 90.00 90.06°
Each line ends with the local moment (μB).
Element x y z (fractional)
Sr1 0.500 0.500 0.252  0.00
Sr2 0.500 0.500 0.748  0.00
Tl1 0.000 0.000 0.500  0.00
Br1 0.366 0.266 0.500  0.00
Br2 0.326 0.258 0.000  -0.02
Br3 0.674 0.742 0.000  -0.02
Br4 0.843 0.238 0.216  -0.03
Br5 0.634 0.734 0.500  0.00
Br6 0.157 0.762 0.216  -0.03
Br7 0.157 0.762 0.784  -0.03
Br8 0.843 0.238 0.784  -0.03
Pu1 0.000 0.000 0.000  5.07

***

- What is the formula in the second record?
  Tb2Pm4PrHo2